A relaxed structure of Sr4Nb2O9, computed with GGA-PBEsol.

```
30
Lattice="5.871 0.002 0.001 2.933 5.086 0.000 -0.003 0.001 15.710" Properties=species:S:1:pos:R:3 pbc="T T T"
Sr 5.867 3.394 13.512
Sr 2.934 1.694 2.199
Sr 5.869 0.005 11.786
Sr 2.932 5.084 3.925
Sr 0.000 0.000 0.000
Sr -0.001 0.000 7.855
Sr 2.933 1.694 5.658
Sr 5.867 3.395 10.053
Nb 2.932 1.699 10.274
Nb 5.868 3.390 5.437
Nb 5.868 3.390 2.421
Nb 2.932 1.699 13.290
O 4.741 4.689 6.242
O 4.059 0.399 9.469
O 7.558 3.715 6.242
O 1.243 1.374 9.469
O 5.306 1.762 6.238
O 3.495 3.326 9.473
O 1.832 2.826 11.783
O 6.968 2.263 3.928
O 4.458 2.087 11.783
O 4.342 3.001 3.928
O 2.506 0.183 11.782
O 6.294 4.905 3.929
O 4.060 0.399 14.094
O 4.740 4.690 1.617
O 1.243 1.372 14.094
O 7.558 3.717 1.617
O 3.494 3.326 14.093
O 5.306 1.763 1.618
```

Calculated values
- VASP energy (eV/atom) = -7.9698
- total magnetic moment (μB per cell) = 0.0